{"formula": "CoIr2Pb", "functional": "PBE", "state": "relaxed", "lattice": [[-2.5999, -3.9938, 0.5982], [1.9795, -2.4019, 3.6579], [-1.3988, 4.5854, -0.2921]], "species": ["Ir", "Co", "Ir", "Pb"], "fractional_positions": [[0.0000, 0.0000, 0.0000], [0.7500, 0.2500, 0.5000], [0.5000, 0.5000, 0.0000], [0.2500, 0.7500, 0.5000]], "magnetic_moment_mub_per_fu": 2.2, "delta_e_f_mev_per_atom": 420, "sg": "I4/mmm, No. 139"}